(1)
CsLiH2 | PBE | optimized geometry

Structure (extended XYZ):
```
16
Lattice="-3.659 -0.604 -0.279 0.927 -5.198 -0.901 -0.696 -2.728 15.014" Properties=species:S:1:pos:R:3 pbc="T T T"
H -0.526 -5.685 6.809
H -2.967 -4.684 11.850
H -2.397 -6.868 9.115
H -2.099 -4.113 -0.749
H -1.329 -4.417 14.582
H -1.031 -1.662 4.718
H -2.902 -2.844 7.024
H -0.462 -3.846 1.983
Cs -1.016 -3.946 9.465
Cs -2.747 -1.484 2.061
Cs -0.681 -7.046 11.772
Cs -2.412 -4.584 4.368
Li -3.041 -5.064 13.648
Li -1.124 -1.939 6.534
Li -0.387 -3.466 0.185
Li -2.304 -6.591 7.299
```

Properties
As for the symmetry: No. 62. The offset from the most stable computed form is 4.1 meV/atom. The total energy comes out at -2.614 eV/atom.


(2)
Cs2LiH | PBE | optimized geometry

Structure (extended XYZ):
```
8
Lattice="-0.466 8.720 2.818 -8.766 -1.246 2.408 -3.063 2.243 7.492" Properties=species:S:1:pos:R:3 pbc="T T T"
Cs -2.101 4.884 3.621
Cs -6.355 1.842 4.044
Cs -6.735 4.346 7.846
Cs -9.400 8.360 9.923
H -8.223 2.367 6.256
H -4.616 3.737 2.613
Li 0.000 0.000 0.000
Li -4.072 7.350 6.461
```

Properties
As for the symmetry: No. 122. The offset from the most stable computed form is 0.0 meV/atom. The total energy comes out at -1.638 eV/atom.


(3)
CsLiH | PBE | optimized geometry

Structure (extended XYZ):
```
6
Lattice="5.656 0.000 0.001 0.000 6.088 0.000 -0.783 0.000 5.649" Properties=species:S:1:pos:R:3 pbc="T T T"
Cs 2.437 0.000 2.825
Cs 0.000 0.000 0.000
H -0.391 1.633 2.825
H -0.391 4.455 2.825
Li 0.410 3.044 3.789
Li 4.463 3.044 1.862
```

Properties
As for the symmetry: No. 10. The offset from the most stable computed form is 67.2 meV/atom. The total energy comes out at -2.062 eV/atom.